# CrGaPbO4

A relaxed CrGaPbO4 crystal (GGA+U, Alexandria via LeMat-Bulk).

Geometry as extended XYZ:
```
14
Lattice="5.432 0.000 0.000 0.000 5.712 0.000 -1.877 0.000 6.585" Properties=species:S:1:pos:R:3 pbc="T T T"
Cr -0.371 1.428 3.230
Cr 3.925 4.284 3.355
Ga 1.032 4.284 2.167
Ga 2.522 1.428 4.418
Pb 1.412 1.428 0.175
Pb 2.142 4.284 6.410
O -0.479 3.038 2.098
O -0.479 5.531 2.098
O 1.874 4.284 0.550
O 1.544 1.428 2.870
O 2.010 4.284 3.714
O 1.681 1.428 6.035
O 4.033 0.182 4.487
O 4.033 2.675 4.487
```

The final energy comes out at -6.3144 eV per atom. The space group is P2_1/m (11).